{
  "formula": "VTcOsRu",
  "functional": "PBE",
  "state": "optimized geometry",
  "m_tot_mub_per_atom": 0.313,
  "delta_e_f_mev_per_atom": 182,
  "dos_ef_per_ev_atom": 1.831,
  "final_energy_ry_per_atom": -0.7214,
  "mass_density_g_cm3": 12.8,
  "cell": [[-0.516, -3.414, 2.602], [3.386, -2.505, 0.977], [1.651, 0.058, 3.996]],
  "species": ["Tc", "Ru", "V", "Os"],
  "fractional_positions": [[0.000, 0.000, 0.000], [0.250, 0.250, 0.250], [0.500, 0.500, 0.500], [0.750, 0.750, 0.750]]
}